# 1
An optimized crystal structure of LaZrCd2, computed with PBE.

Computed properties:
* total magnetization: 0.0 μB per formula unit
* ΔH_f (0 K): 0.005 eV per atom
* total DFT energy (no corrections): -3.822 eV per atom

abc: 5.8700 5.8700 5.6526
angles: 79.62 79.62 32.32
With the nearest neighbours (Å) after each atom.
Fractional coordinates of all 4 atoms:
Cd 0.9894 0.9894 0.0263  4 Cd 3.06-3.27, 3 Zr 3.21-3.41, 1 La 3.36
Cd 0.5106 0.5106 0.4737  4 Cd 3.06-3.27, 3 Zr 3.21-3.41, 1 La 3.36
La 0.7500 0.7500 0.7500  4 Zr 3.26, 2 La 3.27, 6 Cd 3.36-3.47
Zr 0.2500 0.2500 0.2500  6 Cd 3.21-3.41, 4 La 3.26, 2 Zr 3.27


# 2
An optimized crystal structure of CePm5As6, computed with PBE.

Computed properties:
* total magnetization: 0.4 μB per formula unit
* ΔH_f (0 K): -1.519 eV per atom
* total DFT energy (no corrections): -6.317 eV per atom

abc: 7.3318 7.3284 7.3290
angles: 60.00 80.41 70.54
With the nearest neighbours (Å) after each atom.
Fractional coordinates of all 12 atoms:
As 0.7518 0.0827 0.3297  1 Ce 2.96, 5 Pm 2.99-3.02
As 0.2482 0.5876 0.3297  1 Ce 2.96, 5 Pm 2.99-3.02
As 0.2477 0.2469 0.0000  1 Ce 2.96, 5 Pm 2.99-3.02
As 0.7523 0.7531 0.0000  1 Ce 2.96, 5 Pm 2.99-3.02
As 0.7518 0.4124 0.6703  1 Ce 2.96, 5 Pm 2.99-3.02
As 0.2482 0.9173 0.6703  1 Ce 2.96, 5 Pm 2.99-3.02
Ce 0.0000 0.0000 0.0000  6 As 2.96
Pm 0.5000 0.1673 0.6653  6 As 2.99-3.02
Pm 0.0000 0.3336 0.3329  6 As 2.99-3.00
Pm 0.5000 0.5000 0.0000  6 As 2.99-3.02
Pm 0.0000 0.6664 0.6671  6 As 2.99-3.00
Pm 0.5000 0.8327 0.3347  6 As 2.99-3.02


# 3
An optimized crystal structure of Sb2S3F, computed with PBE.

Computed properties:
* total magnetization: 0.0 μB per formula unit
* total DFT energy (no corrections): -4.285 eV per atom

abc: 3.9621 10.9515 13.6482
angles: 141.81 90.00 100.42
With the nearest neighbours (Å) after each atom.
Fractional coordinates of all 12 atoms:
Sb 0.4254 0.8508 0.6201  3 S 2.51-2.62
Sb 0.5746 0.1492 0.3799  3 S 2.51-2.62
Sb 0.7154 0.4308 0.0713  2 F 2.34, 1 S 2.52
Sb 0.2846 0.5692 0.9287  2 F 2.34, 1 S 2.52
S 0.2370 0.4740 0.4520  2 S 2.19
S 0.8930 0.7860 0.4704  2 Sb 2.51
S 0.6518 0.3035 0.8164  3 Sb 2.52-2.73
S 0.3482 0.6965 0.1836  3 Sb 2.52-2.73
S 0.1070 0.2140 0.5296  2 Sb 2.51
S 0.7630 0.5260 0.5480  2 S 2.19
F 0.8799 0.7598 0.0384  2 Sb 2.34
F 0.1201 0.2402 0.9616  2 Sb 2.34


# 4
An optimized crystal structure of Ce4Hg2Au, computed with PBE.

Computed properties:
* total magnetization: 0.0 μB per formula unit
* ΔH_f (0 K): 0.153 eV per atom
* total DFT energy (no corrections): -3.792 eV per atom

abc: 2.9685 2.9684 20.6010
angles: 94.13 90.00 90.00
With the nearest neighbours (Å) after each atom.
Fractional coordinates of all 7 atoms:
Ce 0.5000 0.8638 0.7277  4 Ce 2.97, 1 Hg 3.22
Ce 0.0000 0.5732 0.1464  4 Ce 2.97, 1 Au 3.01
Ce 0.5000 0.1362 0.2723  4 Ce 2.97, 1 Hg 3.22
Ce 0.0000 0.4268 0.8536  4 Ce 2.97, 1 Au 3.01
Hg 0.5000 0.2145 0.4289  6 Hg 2.97-3.28, 1 Ce 3.22
Hg 0.5000 0.7855 0.5711  6 Hg 2.97-3.28, 1 Ce 3.22
Au 0.0000 0.5000 0.0000  4 Au 2.97, 2 Ce 3.01